Entry 1:
The following is a PBE-GGA calculation of a relaxed Zn3SbRu crystal, from Alexandria via LeMat-Bulk.

Cell lengths 4.7849, 4.7849, 4.7849 Å; angles 90.00, 90.00, 90.00 degrees
With the nearest neighbours (Å) after each atom.
Positions (direct):
Zn1 0.0000 0.5000 0.0000  2 Ru 2.39
Zn2 0.5000 0.0000 0.0000  2 Ru 2.39
Zn3 0.0000 0.0000 0.5000  2 Ru 2.39
Sb1 0.5000 0.5000 0.5000  12 Zn 3.38
Ru1 0.0000 0.0000 0.0000  6 Zn 2.39

Properties
The uncorrected formation energy comes out at 576.9 meV per atom. The uncorrected energy is -14.34 eV/cell. The calculation puts the energy above the lowest structure with this stoichiometry at 0 meV/atom. Its space group is Pm-3m, No. 221.

---

Entry 2:
The following is a PBE-GGA calculation of a relaxed ZrSb2Ru crystal, from Alexandria via LeMat-Bulk.

Cell lengths 3.2097, 3.4980, 7.0961 Å; angles 90.00, 90.00, 90.00 degrees
With the nearest neighbours (Å) after each atom.
Positions (direct):
Sb1 0.0000 0.0000 0.5253  4 Ru 2.86, 4 Zr 3.07, 1 Sb 3.19
Sb2 0.0000 0.0000 0.9747  4 Ru 2.86, 4 Zr 3.07, 1 Sb 3.19
Zr1 0.5000 0.5000 0.2500  8 Sb 3.07, 2 Zr 3.21
Ru1 0.5000 0.5000 0.7500  8 Sb 2.86

Properties
The uncorrected formation energy comes out at -138.3 meV per atom. The uncorrected energy is -26.62 eV/cell. Its space group is Pmmm, No. 47.

---

Entry 3:
The following is a PBE-GGA calculation of a relaxed ZrSb2Ru crystal, from Alexandria via LeMat-Bulk.

Cell lengths 9.0811, 9.0811, 9.0811 Å; angles 20.75, 20.75, 20.75 degrees
With the nearest neighbours (Å) after each atom.
Positions (direct):
Zr1 0.2500 0.2500 0.2500  6 Sb 3.11, 6 Zr 3.27
Sb1 0.0094 0.0094 0.0094  3 Ru 2.73
Sb2 0.4906 0.4906 0.4906  3 Ru 2.73
Ru1 0.7500 0.7500 0.7500  6 Sb 2.73

Properties
The uncorrected formation energy comes out at -66.1 meV per atom. The uncorrected energy is -26.33 eV/cell. Its space group is R-3m, No. 166.

---

Entry 4:
The following is a PBE-GGA calculation of a relaxed ZrSb2Ru crystal, from Alexandria via LeMat-Bulk.

Cell lengths 6.3725, 6.3725, 6.3725 Å; angles 145.78, 144.34, 50.26 degrees
With the nearest neighbours (Å) after each atom.
Positions (direct):
Zr1 0.4637 0.4637 0.0000  6 Sb 2.87-2.92
Sb1 0.7757 0.2757 0.5000  4 Ru 2.80, 2 Zr 2.92
Sb2 0.0473 0.0473 0.0000  2 Ru 2.68, 4 Zr 2.87
Ru1 0.2133 0.7133 0.5000  6 Sb 2.68-2.80

Properties
The uncorrected formation energy comes out at -310.5 meV per atom. The uncorrected energy is -27.31 eV/cell. Its space group is Imm2, No. 44.

---

Entry 5:
The following is a PBE-GGA calculation of a relaxed Zr2SbRu crystal, from Alexandria via LeMat-Bulk.

Cell lengths 3.2169, 3.2169, 7.9778 Å; angles 90.00, 90.00, 97.01 degrees
With the nearest neighbours (Å) after each atom.
Positions (direct):
Ru1 0.5000 0.5000 0.2500  8 Zr 2.73-2.95
Sb1 0.5000 0.5000 0.7500  8 Zr 3.13-3.32, 4 Sb 3.22
Zr1 0.0000 0.0000 0.0365  4 Ru 2.73-2.95
Zr2 0.0000 0.0000 0.4635  4 Ru 2.73-2.95

Properties
The uncorrected formation energy comes out at -420.7 meV per atom. The uncorrected energy is -32.18 eV/cell. Its space group is Cmmm, No. 65.

---

Entry 6:
The following is a PBE-GGA calculation of a relaxed Zr4Sb6Ru7 crystal, from Alexandria via LeMat-Bulk.

Cell lengths 7.4204, 7.4204, 7.4204 Å; angles 109.47, 109.47, 109.47 degrees
With the nearest neighbours (Å) after each atom.
Positions (direct):
Sb1 0.6874 0.6874 0.0000  5 Ru 2.68
Sb2 0.3126 0.0000 0.3126  5 Ru 2.68
Sb3 0.0000 0.6874 0.6874  5 Ru 2.68
Sb4 0.0000 0.3126 0.3126  5 Ru 2.68
Sb5 0.6874 0.0000 0.6874  5 Ru 2.68
Sb6 0.3126 0.3126 0.0000  5 Ru 2.68
Zr1 0.5000 0.5000 0.5000  6 Ru 3.03, 6 Sb 3.08
Zr2 0.0000 0.0000 0.5000  6 Ru 3.03, 6 Sb 3.08
Zr3 0.0000 0.5000 0.0000  6 Ru 3.03, 6 Sb 3.08
Zr4 0.5000 0.0000 0.0000  6 Ru 3.03, 6 Sb 3.08
Ru1 0.7500 0.2500 0.5000  4 Sb 2.68
Ru2 0.0000 0.0000 0.0000  6 Sb 2.68
Ru3 0.2500 0.7500 0.5000  4 Sb 2.68
Ru4 0.5000 0.7500 0.2500  4 Sb 2.68
Ru5 0.7500 0.5000 0.2500  4 Sb 2.68
Ru6 0.2500 0.5000 0.7500  4 Sb 2.68
Ru7 0.5000 0.2500 0.7500  4 Sb 2.68

Properties
The uncorrected formation energy comes out at -461.4 meV per atom. The uncorrected energy is -131.70 eV/cell. Its space group is Im-3m, No. 229.